# AcHo4In5

An optimized crystal structure of AcHo4In5 (PBE-GGA, the Alexandria database).

abc: 3.7977 3.7977 19.2725
angles: 90.00 90.00 90.00
Last column: nearest neighbours and their distance in Å.
Positions (direct):
Ac  0.0000  0.0000  0.0000  8 In 3.54, 4 Ac 3.80
Ho  0.0000  0.0000  0.2137  8 In 3.24-3.27
Ho  0.0000  0.0000  0.4050  8 In 3.25
Ho  0.0000  0.0000  0.5950  8 In 3.25
Ho  0.0000  0.0000  0.7863  8 In 3.24-3.27
In  0.5000  0.5000  0.1197  4 Ho 3.24, 4 Ac 3.54
In  0.5000  0.5000  0.3101  8 Ho 3.25-3.27
In  0.5000  0.5000  0.5000  8 Ho 3.25
In  0.5000  0.5000  0.6899  8 Ho 3.25-3.27
In  0.5000  0.5000  0.8803  4 Ho 3.24, 4 Ac 3.54

Its space-group type is P4/mmm, No. 123. The calculation puts the formation energy from the elements at -0.44 eV/atom. For the calculated volume, the calculation gives 278.0 Å³/cell. Its magnetic moment is 0.000 μB per formula unit.